[1]
{"formula": "Y2Te2F", "functional": "PBE", "state": "relaxed", "energy_ev_per_fu": -29.84, "sg": "P4/mbm, No. 127", "magmom_total_mub_per_cell": 0.00, "formation_energy_uncorrected_ev_per_atom": -1.75, "polymorph_energy_mev_per_atom": 147, "lattice_angstrom": [[7.838, 0.000, 0.000], [0.000, 7.838, 0.000], [0.000, 0.000, 4.190]], "species": ["Y", "Y", "Y", "Y", "Te", "Te", "Te", "Te", "F", "F"], "frac_coords": [[0.156, 0.344, 0.000], [0.344, 0.844, 0.000], [0.656, 0.156, 0.000], [0.844, 0.656, 0.000], [0.151, 0.651, 0.500], [0.349, 0.151, 0.500], [0.651, 0.849, 0.500], [0.849, 0.349, 0.500], [0.000, 0.000, 0.000], [0.500, 0.500, 0.000]]}

---

[2]
{"formula": "RePdC2", "functional": "PBE", "state": "relaxed", "energy_ev_per_fu": -29.97, "sg": "Fm-3m, No. 225", "magmom_total_mub_per_cell": 0.00, "ef_ev_per_fu": 6.115, "polymorph_energy_mev_per_atom": 820, "lattice_angstrom": [[0.000, 2.731, 2.731], [2.731, 0.000, 2.731], [2.731, 2.731, 0.000]], "species": ["Re", "Pd", "C", "C"], "frac_coords": [[0.000, 0.000, 0.000], [0.500, 0.500, 0.500], [0.250, 0.250, 0.250], [0.750, 0.750, 0.750]]}

---

[3]
{"formula": "Li2TmTl2Ag2", "functional": "PBE", "state": "relaxed", "energy_ev_per_fu": -19.82, "sg": "R-3m, No. 166", "magmom_total_mub_per_cell": 0.00, "ef_ev_per_fu": -1.087, "lattice_angstrom": [[2.426, 1.400, 7.175], [-2.426, 1.400, 7.175], [0.000, -2.801, 7.175]], "species": ["Li", "Li", "Tm", "Tl", "Tl", "Ag", "Ag"], "frac_coords": [[0.144, 0.144, 0.144], [0.856, 0.856, 0.856], [0.000, 0.000, 0.000], [0.272, 0.272, 0.272], [0.728, 0.728, 0.728], [0.431, 0.431, 0.431], [0.569, 0.569, 0.569]]}

---

[4]
{"formula": "Tb2Al4CuNi3", "functional": "PBE", "state": "relaxed", "energy_ev_per_fu": -51.03, "sg": "P-4m2, No. 115", "magmom_total_mub_per_cell": 0.00, "ef_ev_per_fu": -5.354, "lattice_angstrom": [[4.017, 0.000, 0.000], [0.000, 4.017, 0.000], [0.000, 0.000, 10.414]], "species": ["Tb", "Tb", "Al", "Al", "Al", "Al", "Cu", "Ni", "Ni", "Ni"], "frac_coords": [[0.000, 0.500, 0.244], [0.500, 0.000, 0.756], [0.000, 0.000, 0.000], [0.000, 0.500, 0.631], [0.500, 0.000, 0.369], [0.500, 0.500, 0.000], [0.000, 0.000, 0.500], [0.000, 0.500, 0.864], [0.500, 0.000, 0.136], [0.500, 0.500, 0.500]]}

---

[5]
{"formula": "Nd2Er12Tm5", "functional": "PBE", "state": "relaxed", "energy_ev_per_fu": -85.38, "sg": "P-1, No. 2", "magmom_total_mub_per_cell": 0.00, "ef_ev_per_fu": 1.263, "polymorph_energy_mev_per_atom": 0, "lattice_angstrom": [[6.245, 0.000, 0.000], [0.227, 9.120, 0.000], [1.178, 0.506, 10.409]], "species": ["Nd", "Nd", "Er", "Er", "Er", "Er", "Er", "Er", "Er", "Er", "Er", "Er", "Er", "Er", "Tm", "Tm", "Tm", "Tm", "Tm"], "frac_coords": [[0.052, 0.007, 0.157], [0.948, 0.993, 0.843], [0.010, 0.673, 0.394], [0.097, 0.330, 0.942], [0.141, 0.640, 0.741], [0.335, 0.203, 0.352], [0.423, 0.831, 0.949], [0.482, 0.168, 0.721], [0.518, 0.832, 0.279], [0.577, 0.169, 0.051], [0.665, 0.797, 0.648], [0.859, 0.360, 0.259], [0.903, 0.670, 0.058], [0.990, 0.327, 0.606], [0.214, 0.943, 0.557], [0.379, 0.509, 0.158], [0.500, 0.500, 0.500], [0.621, 0.491, 0.842], [0.786, 0.057, 0.443]]}

---

[6]
{"formula": "DyHfCl", "functional": "PBE", "state": "relaxed", "energy_ev_per_fu": -18.91, "sg": "P1, No. 1", "magmom_total_mub_per_cell": 0.00, "formation_energy_uncorrected_ev_per_atom": -0.84, "lattice_angstrom": [[3.464, 0.000, 0.000], [1.732, 3.000, 0.000], [1.686, -0.817, 15.384]], "species": ["Dy", "Dy", "Hf", "Hf", "Cl", "Cl"], "frac_coords": [[0.000, 0.000, 0.000], [0.018, 0.471, 0.506], [0.224, 0.381, 0.176], [0.460, 0.757, 0.332], [0.276, 0.837, 0.627], [0.409, 0.300, 0.879]]}